! Cs2AlAgSb2, optimized geometry, DFT GGA-PBE; values from VASP
! **Uncorrected energy**: -3.105 eV/atom
! **Formation energy from raw total energies**: -0.347 eV/atom
! **Theoretical density**: 4.99 g cm⁻³
! **Space-group type**: Ibam
&SYSTEM
  ibrav = 0, nat = 12, ntyp = 4
/
ATOMIC_SPECIES
Cs 132.91 Cs.upf
Al 26.98 Al.upf
Ag 107.87 Ag.upf
Sb 121.76 Sb.upf
ATOMIC_POSITIONS crystal
Cs 0.1693 0.2263 0.3956
Cs 0.3307 0.7263 0.0570
Cs 0.6693 0.2737 0.9430
Cs 0.8307 0.7737 0.6044
Al 0.2500 0.7500 0.5000
Al 0.7500 0.2500 0.5000
Ag 0.2500 0.2500 0.0000
Ag 0.7500 0.7500 0.0000
Sb 0.0858 0.7226 0.8083
Sb 0.4142 0.2226 0.6368
Sb 0.5858 0.7774 0.3632
Sb 0.9142 0.2774 0.1917
CELL_PARAMETERS angstrom
-3.4677 9.0266 3.4216
3.4677 -9.0266 3.4216
3.4677 9.0266 -3.4216


! CsAl2AgTe4, optimized geometry, DFT GGA-PBE; values from VASP
! **Uncorrected energy**: -3.206 eV/atom
! **Formation energy from raw total energies**: -0.237 eV/atom
! **Theoretical density**: 4.17 g cm⁻³
! **Space-group type**: I222
&SYSTEM
  ibrav = 0, nat = 8, ntyp = 4
/
ATOMIC_SPECIES
Cs 132.91 Cs.upf
Al 26.98 Al.upf
Ag 107.87 Ag.upf
Te 127.60 Te.upf
ATOMIC_POSITIONS crystal
Cs 0.0000 0.0000 0.0000
Al 0.3541 0.8541 0.5000
Al 0.6459 0.1459 0.5000
Ag 0.5000 0.5000 0.0000
Te 0.1502 0.0945 0.5913
Te 0.4967 0.9055 0.0557
Te 0.5033 0.5589 0.4087
Te 0.8498 0.4411 0.9443
CELL_PARAMETERS angstrom
-3.4240 4.6575 5.0222
3.4240 -4.6575 5.0222
3.4240 4.6575 -5.0222


! Al2CuAg, optimized geometry, DFT GGA-PBE; values from VASP
! **Uncorrected energy**: -3.512 eV/atom
! **Theoretical density**: 5.93 g cm⁻³
! **Space-group type**: F-43m
&SYSTEM
  ibrav = 0, nat = 4, ntyp = 3
/
ATOMIC_SPECIES
Al 26.98 Al.upf
Cu 63.55 Cu.upf
Ag 107.87 Ag.upf
ATOMIC_POSITIONS crystal
Al 0.0000 0.0000 0.0000
Al 0.2500 0.2500 0.2500
Cu 0.7500 0.7500 0.7500
Ag 0.5000 0.5000 0.5000
CELL_PARAMETERS angstrom
0.0000 3.1592 3.1592
3.1592 0.0000 3.1592
3.1592 3.1592 0.0000